Compound: CaGaPbO5
Source: Alexandria
Functional: PBE
Structure: relaxed

Summary:
For the raw total energy, the calculation gives -5.72 eV/atom.

Unit cell a=6.049 b=6.049 c=7.543 alpha=105.56 beta=105.56 gamma=107.36
Positions (direct):
Ca (0.076, 0.924, 0.750)
Ca (0.924, 0.076, 0.250)
Ga (0.444, 0.556, 0.750)
Ga (0.556, 0.444, 0.250)
Pb (0.000, 0.500, 0.000)
Pb (0.500, 0.000, 0.500)
O (0.160, 0.840, 0.250)
O (0.212, 0.295, 0.121)
O (0.293, 0.702, 0.588)
O (0.295, 0.212, 0.621)
O (0.298, 0.707, 0.912)
O (0.702, 0.293, 0.088)
O (0.705, 0.788, 0.379)
O (0.707, 0.298, 0.412)
O (0.788, 0.705, 0.879)
O (0.840, 0.160, 0.750)

Compound: CaGaPdO4
Source: Alexandria
Functional: PBE
Structure: relaxed

Summary:
For the raw total energy, the calculation gives -5.73 eV/atom.

Unit cell a=5.469 b=5.469 c=6.977 alpha=90.00 beta=90.00 gamma=112.86
Positions (direct):
Ca (0.000, 0.000, 0.000)
Ca (0.000, 0.000, 0.500)
Ga (0.375, 0.625, 0.750)
Ga (0.625, 0.375, 0.250)
Pd (0.307, 0.693, 0.250)
Pd (0.693, 0.307, 0.750)
O (0.256, 0.268, 0.250)
O (0.262, 0.738, 0.527)
O (0.262, 0.738, 0.973)
O (0.268, 0.256, 0.750)
O (0.732, 0.744, 0.250)
O (0.738, 0.262, 0.027)
O (0.738, 0.262, 0.473)
O (0.744, 0.732, 0.750)

Compound: CaPmGaO4
Source: Alexandria
Functional: PBE
Structure: relaxed

Summary:
For the raw total energy, the calculation gives -6.81 eV/atom.

Unit cell a=6.578 b=6.578 c=6.578 alpha=121.44 beta=118.29 gamma=90.25
Positions (direct):
Ca (0.500, 0.000, 0.000)
Ca (0.500, 0.500, 0.500)
Pm (0.000, 0.000, 0.000)
Pm (0.500, 0.000, 0.500)
Ga (0.120, 0.370, 0.750)
Ga (0.880, 0.630, 0.250)
O (0.234, 0.746, 0.488)
O (0.242, 0.254, 0.988)
O (0.246, 0.252, 0.506)
O (0.246, 0.740, 0.994)
O (0.754, 0.260, 0.006)
O (0.754, 0.748, 0.494)
O (0.758, 0.746, 0.012)
O (0.766, 0.254, 0.512)

Compound: Ca2PmGaO
Source: Alexandria
Functional: PBE
Structure: relaxed

Summary:
For the raw total energy, the calculation gives -4.74 eV/atom.

Unit cell a=4.744 b=4.744 c=4.964 alpha=90.00 beta=90.00 gamma=90.00
Positions (direct):
Ca (0.000, 0.500, 0.000)
Ca (0.500, 0.000, 0.000)
Pm (0.000, 0.000, 0.500)
Ga (0.500, 0.500, 0.500)
O (0.000, 0.000, 0.000)

| no. | formation energy (no corrections) (meV per atom) | calculated volume (Å³/cell) |
| --- | --- | --- |
| 1 | -1532 | 234.9 |
| 2 | -1434 | 192.3 |
| 3 | -2579 | 201.5 |
| 4 | -1394 | 111.7 |